[1]
Material: Dy3Bi2Te
Method: DFT, PBE
State: relaxed

For the calculated volume, the calculation gives 177 Å³/f.u. Its total energy is -4.815 eV/atom. As for the excess energy over the best structure of this formula in the dataset: 75 meV/atom.

The space group is Cmcm (No. 63) and the conventional cell measures 4.3757, 15.8435 and 10.1933 Å, with angles of 90.00, 90.00 and 90.00 degrees. The distinct sites, in fractional coordinates, are Dy at (0.0000, 0.1410, 0.2500), Dy at (0.0000, 0.3384, 0.0394), Bi at (0.0000, 0.0000, 0.0000), Bi at (0.0000, 0.4976, 0.2500) and Te at (0.0000, 0.2245, 0.7500).



[2]
Material: DyBiTe
Method: DFT, PBE
State: relaxed

For the calculated volume, the calculation gives 98 Å³/f.u. Its total energy is -4.669 eV/atom.

The space group is Cmc2_1 (No. 36) and the conventional cell measures 4.4221, 14.4490 and 6.1227 Å, with angles of 90.00, 90.00 and 90.00 degrees. The distinct sites, in fractional coordinates, are Dy at (0.0000, 0.1055, 0.0000), Bi at (0.0000, 0.4403, 0.8750) and Te at (0.0000, 0.2956, 0.2418).



[3]
Material: Dy5Bi2Te2
Method: DFT, PBE
State: relaxed

For the calculated volume, the calculation gives 261 Å³/f.u. Its total energy is -5.020 eV/atom.

The space group is Cmce (No. 64) and the conventional cell measures 15.3984, 8.1838 and 8.2703 Å, with angles of 90.00, 90.00 and 90.00 degrees. The distinct sites, in fractional coordinates, are Dy at (0.0000, 0.0000, 0.0000), Dy at (0.1329, 0.1549, 0.3430), Bi at (0.2003, 0.0000, 0.0000) and Te at (0.0000, 0.1457, 0.6445).



| no. | formation energy without anion corrections (eV per atom) |
| --- | --- |
| 1 | -0.70 |
| 2 | -0.79 |
| 3 | -0.90 |